(1)
Material: Tc2AgHg
Method: DFT, PBEsol
State: relaxed

Lattice parameters (Å, degrees): 9.589 9.589 9.589 16.67 16.67 16.67
Element x y z (fractional)
Tc 0.248 0.248 0.248
Tc 0.752 0.752 0.752
Ag 0.500 0.500 0.500
Hg 0.000 0.000 0.000

Output
E_form in eV per atom: 0.627
Density in g cm⁻³: 13.2

=====

(2)
Material: LaSc2Rh
Method: DFT, PBEsol
State: relaxed

Lattice parameters (Å, degrees): 5.869 5.869 5.869 144.94 129.14 63.28
Element x y z (fractional)
La 0.000 0.000 0.000
Sc 0.290 0.790 0.500
Sc 0.592 0.592 0.000
Rh 0.782 0.282 0.500

Output
E_form in eV per atom: -0.369
Density in g cm⁻³: 6.2

=====

(3)
Material: La3AlC
Method: DFT, PBEsol
State: relaxed

Lattice parameters (Å, degrees): 5.132 5.132 5.132 90.00 90.00 90.00
Element x y z (fractional)
La 0.000 0.000 0.500
La 0.000 0.500 0.000
La 0.500 0.000 0.000
Al 0.500 0.500 0.500
C 0.000 0.000 0.000

Output
ΔE to the lowest computed polymorph in eV per atom: 0.000
E_form in eV per atom: -0.163
Density in g cm⁻³: 5.6

=====

(4)
Material: WCSeBr2
Method: DFT, PBEsol
State: relaxed

Lattice parameters (Å, degrees): 4.405 4.405 4.607 90.00 90.00 90.00
Element x y z (fractional)
W 0.000 0.000 0.000
C 0.500 0.500 0.500
Se 0.500 0.500 0.000
Br 0.000 0.500 0.500
Br 0.500 0.000 0.500

Output
Energy relative to the elements, uncorrected in eV per atom: 1.82
Density in g cm⁻³: 8.1

=====

(5)
Material: CdHg4
Method: DFT, PBEsol
State: relaxed

Lattice parameters (Å, degrees): 5.489 5.489 5.489 99.44 99.44 132.22
Element x y z (fractional)
Cd 0.000 0.000 0.000
Hg 0.201 0.603 0.805
Hg 0.397 0.201 0.598
Hg 0.603 0.799 0.402
Hg 0.799 0.397 0.195

Output
ΔE to the lowest computed polymorph in eV per atom: 0.000
E_form in eV per atom: 0.014
Density in g cm⁻³: 13.6

=====

(6)
Material: CaHgPb2
Method: DFT, PBEsol
State: relaxed

Lattice parameters (Å, degrees): 3.685 4.172 7.106 90.00 90.00 90.00
Element x y z (fractional)
Ca 0.000 0.000 0.000
Hg 0.500 0.500 0.231
Pb 0.000 0.000 0.474
Pb 0.500 0.500 0.722

Output
E_form in eV per atom: -0.308
Density in g cm⁻³: 10.0

=====

(7)
Material: Mn2FeTc
Method: DFT, PBEsol
State: relaxed

Lattice parameters (Å, degrees): 2.494 4.027 4.692 90.00 98.83 90.00
Element x y z (fractional)
Mn 0.232 0.000 0.261
Mn 0.768 0.000 0.739
Fe 0.000 0.500 0.500
Tc 0.500 0.500 0.000

Output
E_form in eV per atom: 0.160
Density in g cm⁻³: 9.4

=====

(8)
Material: Cu2TcPt
Method: DFT, PBEsol
State: relaxed

Lattice parameters (Å, degrees): 2.681 2.681 7.188 90.00 90.00 90.00
Element x y z (fractional)
Cu 0.000 0.000 0.000
Cu 0.500 0.500 0.223
Tc 0.500 0.500 0.746
Pt 0.000 0.000 0.483

Output
ΔE to the lowest computed polymorph in eV per atom: 0.000
E_form in eV per atom: -0.016
Density in g cm⁻³: 13.5

=====

(9)
Material: MnAl2W
Method: DFT, PBEsol
State: relaxed

Lattice parameters (Å, degrees): 3.004 3.004 5.998 90.00 90.00 90.00
Element x y z (fractional)
Mn 0.000 0.000 0.000
Al 0.000 0.000 0.505
Al 0.500 0.500 0.780
W 0.500 0.500 0.238

Output
ΔE to the lowest computed polymorph in eV per atom: 0.000
E_form in eV per atom: -0.161
Density in g cm⁻³: 9.0

=====

(10)
Material: Mg3Co4
Method: DFT, PBEsol
State: relaxed

Lattice parameters (Å, degrees): 12.094 12.094 12.094 166.41 166.41 19.27
Element x y z (fractional)
Mg 0.000 0.000 0.000
Mg 0.303 0.303 0.000
Mg 0.697 0.697 0.000
Co 0.123 0.123 0.000
Co 0.427 0.427 0.000
Co 0.573 0.573 0.000
Co 0.877 0.877 0.000

Output
E_form in eV per atom: 0.115
Density in g cm⁻³: 5.2

=====

(11)
Material: Mg2Sn
Method: DFT, PBEsol
State: relaxed

Lattice parameters (Å, degrees): 4.769 4.769 4.769 60.00 60.00 60.00
Element x y z (fractional)
Mg 0.250 0.250 0.250
Mg 0.750 0.750 0.750
Sn 0.000 0.000 0.000

Output
E_form in eV per atom: -0.209
Density in g cm⁻³: 3.6

=====

(12)
Material: Tl2SbPb
Method: DFT, PBEsol
State: relaxed

Lattice parameters (Å, degrees): 6.307 6.307 3.215 90.00 90.00 116.49
Element x y z (fractional)
Tl 0.000 0.500 0.000
Tl 0.500 0.000 0.000
Sb 0.000 0.000 0.500
Pb 0.500 0.500 0.500

Output
Energy relative to the elements, uncorrected in eV per atom: 0.03
ΔE to the lowest computed polymorph in eV per atom: 0.023
Density in g cm⁻³: 10.7

=====

(13)
Material: ZnMo
Method: DFT, PBEsol
State: relaxed

Lattice parameters (Å, degrees): 2.739 2.739 9.074 90.00 90.00 120.00
Element x y z (fractional)
Zn 0.333 0.667 0.381
Zn 0.667 0.333 0.619
Mo 0.333 0.667 0.869
Mo 0.667 0.333 0.131

Output
ΔE to the lowest computed polymorph in eV per atom: 0.140
E_form in eV per atom: 0.206
Density in g cm⁻³: 9.1

=====

(14)
Material: La2OsF
Method: DFT, PBEsol
State: relaxed

Lattice parameters (Å, degrees): 4.867 4.867 4.867 60.00 60.00 60.00
Element x y z (fractional)
La 0.250 0.250 0.250
La 0.750 0.750 0.750
Os 0.000 0.000 0.000
F 0.500 0.500 0.500

Output
Energy relative to the elements, uncorrected in eV per atom: -1.04
Density in g cm⁻³: 9.9

=====

(15)
Material: Cu2AsIr
Method: DFT, PBEsol
State: relaxed

Lattice parameters (Å, degrees): 2.815 4.122 4.731 90.00 102.24 90.00
Element x y z (fractional)
Cu 0.128 0.000 0.255
Cu 0.872 0.000 0.745
As 0.000 0.500 0.500
Ir 0.500 0.500 0.000

Output
E_form in eV per atom: 0.201
Density in g cm⁻³: 12.2

=====

(16)
Material: RbBiTe2N
Method: DFT, PBEsol
State: relaxed

Lattice parameters (Å, degrees): 6.115 6.115 4.798 90.00 90.00 90.00
Element x y z (fractional)
Rb 0.000 0.000 0.000
Bi 0.500 0.500 0.500
Te 0.000 0.500 0.000
Te 0.500 0.000 0.000
N 0.000 0.000 0.500

Output
Energy relative to the elements, uncorrected in eV per atom: 1.51
Density in g cm⁻³: 5.2

=====

(17)
Material: LaMoOs
Method: DFT, PBEsol
State: relaxed

Lattice parameters (Å, degrees): 6.491 6.491 6.491 152.25 152.25 39.64
Element x y z (fractional)
La 0.000 0.000 0.000
Mo 0.701 0.701 0.000
Os 0.306 0.306 0.000

Output
E_form in eV per atom: 0.233
Density in g cm⁻³: 11.9

=====

(18)
Material: Be2MoAs
Method: DFT, PBEsol
State: relaxed

Lattice parameters (Å, degrees): 4.382 4.382 2.791 90.00 90.00 111.70
Element x y z (fractional)
Be 0.000 0.500 0.000
Be 0.500 0.000 0.000
Mo 0.000 0.000 0.500
As 0.500 0.500 0.500

Output
E_form in eV per atom: 0.234
Density in g cm⁻³: 6.3

=====

(19)
Material: MnPtSeN2
Method: DFT, PBEsol
State: relaxed

Lattice parameters (Å, degrees): 3.533 3.533 5.359 90.00 90.00 90.00
Element x y z (fractional)
Mn 0.000 0.000 0.000
Pt 0.500 0.500 0.500
Se 0.000 0.000 0.500
N 0.000 0.500 0.000
N 0.500 0.000 0.000

Output
Energy relative to the elements, uncorrected in eV per atom: 0.64
Density in g cm⁻³: 8.9

=====

(20)
Material: NbPRhS2
Method: DFT, PBEsol
State: relaxed

Lattice parameters (Å, degrees): 4.497 4.497 4.434 90.00 90.00 90.00
Element x y z (fractional)
Nb 0.000 0.000 0.000
P 0.500 0.500 0.000
Rh 0.500 0.500 0.500
S 0.000 0.500 0.500
S 0.500 0.000 0.500

Output
Energy relative to the elements, uncorrected in eV per atom: 0.53
Density in g cm⁻³: 5.4

=====

D(E_F) (states/eV/f.u.)
3.95, 3.14, 4.05, 3.10, 1.77, 1.72, 4.40, 2.78, 1.22, 5.86, 0.24, 2.12, 1.69, 2.08, 2.35, 5.58, 2.97, 2.00, 4.33, 4.10